LaCr2P PBE optimized geometry; space group = I-4m2 (119); magnetization = 0.26 μB per formula unit; VASP energy = -7.201 eV/atom; calculated volume = 79 Å³ per cell
1.0
4.8163 0.0614 0.0000
-0.1041 4.8156 0.0000
-2.3561 -2.4385 3.4210
Cr La P
2 1 1
direct
0.0000 0.0000 0.0000
0.2500 0.7500 0.5000
0.5000 0.5000 0.0000
0.7500 0.2500 0.5000

=====

LaCrP2 PBE optimized geometry; ΔE to the lowest computed polymorph = 2.47 eV per formula unit; space group = I-4m2 (119); magnetization = 3.82 μB per formula unit; VASP energy = -6.604 eV/atom; calculated volume = 82 Å³ per cell
1.0
5.7517 0.1027 0.0000
2.8226 5.0125 0.0000
-4.2872 -2.5576 2.8586
Cr La P
1 1 2
direct
0.5000 0.5000 0.0000
0.7500 0.2500 0.5000
0.0000 0.0000 0.0000
0.2500 0.7500 0.5000

=====

LaCr2P PBE optimized geometry; space group = Imm2 (44); magnetization = 0.69 μB per formula unit; VASP energy = -7.327 eV/atom; calculated volume = 76 Å³ per cell
1.0
-5.6452 -3.5242 -1.1492
-1.9468 -5.0310 -4.0631
4.2183 2.7481 4.5015
Cr La P
2 1 1
direct
0.8973 0.8973 0.0000
0.2872 0.7872 0.5000
0.5543 0.5543 0.0000
0.7612 0.2612 0.5000

=====

LaCr2P PBE optimized geometry; space group = R3m (160); magnetization = 0.20 μB per formula unit; VASP energy = -7.791 eV/atom; calculated volume = 75 Å³ per cell
1.0
-0.3450 0.6113 5.7719
-1.6541 -3.0532 4.6637
2.3152 -2.2846 4.8196
Cr La P
2 1 1
direct
0.9992 0.9992 0.9992
0.3015 0.3015 0.3015
0.5014 0.5014 0.5014
0.6979 0.6979 0.6979

=====

LaCrP2 PBE optimized geometry; ΔE to the lowest computed polymorph = 0.00 eV per formula unit; space group = R-3m (166); magnetization = 2.79 μB per formula unit; VASP energy = -7.222 eV/atom; calculated volume = 78 Å³ per cell
1.0
-3.7080 -1.1932 0.4737
-1.9370 -1.6271 -2.9997
0.0422 -6.2552 0.8030
Cr La P
1 1 2
direct
0.7500 0.7500 0.7500
0.2500 0.2500 0.2500
0.0218 0.0218 0.9345
0.4782 0.4782 0.5655

=====

LaCrP2 PBE optimized geometry; ΔE to the lowest computed polymorph = 0.88 eV per formula unit; space group = Immm (71); magnetization = 3.04 μB per formula unit; VASP energy = -7.002 eV/atom; calculated volume = 82 Å³ per cell
1.0
-1.8160 4.6280 0.2792
0.0120 -0.3880 4.9643
3.6465 -0.0012 -3.3909
Cr La P
1 1 2
direct
0.7500 0.2500 0.5000
0.2500 0.7500 0.5000
0.9430 0.9430 0.0000
0.5570 0.5570 0.0000

=====

LaCrP2 PBE optimized geometry; ΔE to the lowest computed polymorph = 0.93 eV per formula unit; space group = Pmmm (47); magnetization = 3.12 μB per formula unit; VASP energy = -6.989 eV/atom; calculated volume = 85 Å³ per cell
1.0
-1.1578 -3.6890 0.2091
1.2094 -0.1487 4.0729
-4.6958 1.5560 1.4523
Cr La P
1 1 2
direct
0.5000 0.2500 0.2500
0.5000 0.7500 0.7500
0.0000 0.2498 0.9734
0.0000 0.2502 0.5266

=====

LaCrP2 PBE optimized geometry; ΔE to the lowest computed polymorph = 1.26 eV per formula unit; space group = Imm2 (44); magnetization = 2.78 μB per formula unit; VASP energy = -6.907 eV/atom; calculated volume = 80 Å³ per cell
1.0
-0.2957 -1.0649 -6.8125
-0.1967 -5.3737 -4.3262
-2.2380 3.3488 5.6043
Cr La P
1 1 2
direct
0.5451 0.5451 0.0000
0.2961 0.7961 0.5000
0.9817 0.9817 0.0000
0.6770 0.1770 0.5000

=====

LaCrP2 PBE optimized geometry; ΔE to the lowest computed polymorph = 1.92 eV per formula unit; space group = P4/mmm (123); magnetization = 0.32 μB per formula unit; VASP energy = -6.741 eV/atom; calculated volume = 67 Å³ per cell
1.0
-2.4365 0.4459 -1.9115
-1.9212 0.0828 2.4681
0.8766 6.7447 0.4562
Cr La P
1 1 2
direct
0.5000 0.5000 0.2500
0.5000 0.5000 0.7500
0.0000 0.0000 0.0661
0.0000 0.0000 0.4339

=====

LaCr4P PBE optimized geometry; space group = F-43m (216); magnetization = 0.00 μB per formula unit; VASP energy = -7.583 eV/atom; calculated volume = 91 Å³ per cell
1.0
-2.9751 -4.0731 -0.1781
-2.6000 -1.4067 4.0907
-5.0176 0.5333 0.1077
La Cr P
1 4 1
direct
0.2500 0.2500 0.2500
0.6285 0.6285 0.1145
0.6285 0.1145 0.6285
0.6285 0.6285 0.6285
0.1145 0.6285 0.6285
0.0000 0.0000 0.0000